# 1
A plane-wave DFT calculation with PBE was carried out for Pr2Sm6Y3Er after structural relaxation.

Energy relative to the elements ... 15 meV/atom

Unit cell a=6.2724 b=10.8617 c=11.9887 alpha=90.00 beta=100.02 gamma=90.00
With the nearest neighbours (Å) after each atom.
Space group C2/m (No. 12)
Inequivalent atoms, fractional coordinates:
Pr1 0.0000 0.1667 0.0000 (multiplicity 4)  3 Er 3.62, 3 Pr 3.62, 6 Sm 3.64
Sm1 0.2479 0.5000 0.7476 (multiplicity 4)  3 Y 3.59-3.60, 6 Sm 3.61-3.63, 1 Er 3.63, 2 Pr 3.64
Sm2 0.2501 0.1659 0.7479 (multiplicity 8)  3 Y 3.59-3.60, 6 Sm 3.60-3.63, 1 Er 3.63, 2 Pr 3.64
Y1 0.0000 0.0000 0.5000 (multiplicity 2)  6 Sm 3.59-3.60, 6 Y 3.62
Y2 0.0000 0.3337 0.5000 (multiplicity 4)  6 Sm 3.59-3.60, 6 Y 3.61-3.63
Er1 0.0000 0.5000 0.0000 (multiplicity 2)  6 Pr 3.62, 6 Sm 3.63

=====

# 2
A plane-wave DFT calculation with PBE was carried out for LaRhS2 after structural relaxation.

Offset from the most stable computed form ... 137 meV per atom

Unit cell a=4.3895 b=4.3895 c=21.7782 alpha=90.00 beta=90.00 gamma=120.00
With the nearest neighbours (Å) after each atom.
Space group R-3m (No. 166, hexagonal axes)
Inequivalent atoms, fractional coordinates:
La1 0.0000 0.0000 0.0000 (multiplicity 3)  6 S 2.88
Rh1 0.0000 0.0000 0.5000 (multiplicity 3)  2 S 2.27
S1 0.0000 0.0000 0.3959 (multiplicity 6)  1 Rh 2.27

=====

# 3
A plane-wave DFT calculation with PBE was carried out for Nd2Mn3FeSi4 after structural relaxation.

Final energy ... -72.98 eV/f.u.

Unit cell a=3.9569 b=3.9569 c=10.4260 alpha=90.00 beta=90.00 gamma=90.00
With the nearest neighbours (Å) after each atom.
Space group P-4m2 (No. 115)
Inequivalent atoms, fractional coordinates:
Nd1 0.0000 0.5000 0.2475 (multiplicity 2)  8 Si 3.09, 6 Mn 3.25-3.29, 2 Fe 3.25
Mn1 0.0000 0.0000 0.0000 (multiplicity 1)  4 Si 2.35
Mn2 0.0000 0.0000 0.5000 (multiplicity 1)  4 Si 2.38
Mn3 0.5000 0.5000 0.5000 (multiplicity 1)  4 Si 2.38
Fe1 0.5000 0.5000 0.0000 (multiplicity 1)  4 Si 2.35
Si1 0.0000 0.5000 0.6266 (multiplicity 2)  4 Mn 2.38, 1 Si 2.63
Si2 0.0000 0.5000 0.8786 (multiplicity 2)  2 Mn 2.35, 2 Fe 2.35, 1 Si 2.63

=====

# 4
A plane-wave DFT calculation with PBE was carried out for La8TlCoPt2 after structural relaxation.

Energy relative to the elements ... -488 meV/atom

Unit cell a=6.9749 b=7.3030 c=7.7117 alpha=88.16 beta=74.14 gamma=89.54
With the nearest neighbours (Å) after each atom.
Space group P-1 (No. 2)
Inequivalent atoms, fractional coordinates:
La1 0.1536 0.0820 0.2902 (multiplicity 2)  1 Co 2.88, 1 Pt 2.92
La2 0.2296 0.2317 0.8430 (multiplicity 2)  1 Co 2.99, 2 Pt 3.04-3.13, 1 Tl 3.31
La3 0.2588 0.5897 0.4459 (multiplicity 2)  2 Pt 2.99-3.01
La4 0.3343 0.7181 0.9132 (multiplicity 2)  1 Co 2.56
Tl1 0.5000 0.0000 0.5000 (multiplicity 1)  8 La 3.30-3.65
Co1 0.5000 0.0000 0.0000 (multiplicity 1)  2 La 2.56
Pt1 0.0426 0.4497 0.1918 (multiplicity 2)  7 La 2.92-3.22, 1 Pt 3.23

=====

# 5
A plane-wave DFT calculation with PBE was carried out for YLuBeRu after structural relaxation.

Energy relative to the elements ... -184 meV/atom

Unit cell a=6.7642 b=6.7642 c=6.7642 alpha=90.00 beta=90.00 gamma=90.00
With the nearest neighbours (Å) after each atom.
Space group F-43m (No. 216)
Inequivalent atoms, fractional coordinates:
Y1 0.0000 0.0000 0.0000 (multiplicity 4)  4 Ru 2.93, 4 Be 2.93
Lu1 0.0000 0.0000 0.5000 (multiplicity 4)  4 Ru 2.93, 4 Be 2.93
Be1 0.2500 0.2500 0.2500 (multiplicity 4)  4 Y 2.93, 4 Lu 2.93
Ru1 0.2500 0.2500 0.7500 (multiplicity 4)  4 Y 2.93, 4 Lu 2.93

=====

# 6
A plane-wave DFT calculation with PBE was carried out for ScTa2Fe after structural relaxation.

Energy relative to the elements ... 274 meV/atom
Offset from the most stable computed form ... 279 meV per atom

Unit cell a=3.8987 b=3.8987 c=4.6189 alpha=90.00 beta=90.00 gamma=90.00
With the nearest neighbours (Å) after each atom.
Space group P4/mmm (No. 123)
Inequivalent atoms, fractional coordinates:
Sc1 0.0000 0.0000 0.0000 (multiplicity 1)  4 Fe 2.76, 8 Ta 3.02
Ta1 0.0000 0.5000 0.5000 (multiplicity 2)  4 Ta 2.76, 4 Fe 3.02, 4 Sc 3.02
Fe1 0.5000 0.5000 0.0000 (multiplicity 1)  4 Sc 2.76, 8 Ta 3.02

=====

# 7
A plane-wave DFT calculation with PBE was carried out for UPa2Sb after structural relaxation.

Offset from the most stable computed form ... 173 meV per atom

Unit cell a=3.8342 b=3.8342 c=6.5616 alpha=90.00 beta=90.00 gamma=90.00
With the nearest neighbours (Å) after each atom.
Space group P4/mmm (No. 123)
Inequivalent atoms, fractional coordinates:
U1 0.0000 0.0000 0.0000 (multiplicity 1)  8 Pa 3.11, 2 Sb 3.28
Pa1 0.5000 0.5000 0.2326 (multiplicity 2)  1 Pa 3.05, 4 U 3.11, 4 Sb 3.23
Sb1 0.0000 0.0000 0.5000 (multiplicity 1)  8 Pa 3.23, 2 U 3.28

=====

# 8
A plane-wave DFT calculation with PBE was carried out for Ni2HgW after structural relaxation.

Energy relative to the elements ... 797 meV/atom

Unit cell a=6.8510 b=6.8510 c=5.5043 alpha=90.00 beta=90.00 gamma=90.00
With the nearest neighbours (Å) after each atom.
Space group I-42d (No. 122)
Inequivalent atoms, fractional coordinates:
Ni1 0.2221 0.2500 0.1250 (multiplicity 8)  2 W 2.39, 2 Hg 2.65
Hg1 0.0000 0.0000 0.5000 (multiplicity 4)  4 Ni 2.65, 2 W 2.75
W1 0.0000 0.0000 0.0000 (multiplicity 4)  4 Ni 2.39

=====

Copy entry 3 word for word.
A plane-wave DFT calculation with PBE was carried out for Nd2Mn3FeSi4 after structural relaxation.

Final energy ... -72.98 eV/f.u.

Unit cell a=3.9569 b=3.9569 c=10.4260 alpha=90.00 beta=90.00 gamma=90.00
With the nearest neighbours (Å) after each atom.
Space group P-4m2 (No. 115)
Inequivalent atoms, fractional coordinates:
Nd1 0.0000 0.5000 0.2475 (multiplicity 2)  8 Si 3.09, 6 Mn 3.25-3.29, 2 Fe 3.25
Mn1 0.0000 0.0000 0.0000 (multiplicity 1)  4 Si 2.35
Mn2 0.0000 0.0000 0.5000 (multiplicity 1)  4 Si 2.38
Mn3 0.5000 0.5000 0.5000 (multiplicity 1)  4 Si 2.38
Fe1 0.5000 0.5000 0.0000 (multiplicity 1)  4 Si 2.35
Si1 0.0000 0.5000 0.6266 (multiplicity 2)  4 Mn 2.38, 1 Si 2.63
Si2 0.0000 0.5000 0.8786 (multiplicity 2)  2 Mn 2.35, 2 Fe 2.35, 1 Si 2.63